# AlCuIr2

AlCuIr2 after structural relaxation (PBE, Alexandria).

Calculated values
Total magnetization   0.000 μB per formula unit
ΔE_f   -206 meV per atom
ρ   14.01 g/cm³

a = 4.225 Å, b = 2.757 Å, c = 4.841 Å
α = 86.65°, β = 90.00°, γ = 90.00°
Atoms (fractional coordinates):
Ir  0.000  0.011  0.998
Ir  0.000  0.489  0.502
Cu  0.500  0.750  0.750
Al  0.500  0.250  0.250